No. 1
VASP calculation (GGA-PBE) on a geometry-optimized CrHgBr2 structure.

Symmetry: I-42d (122)
Distance to the lowest polymorph of the same formula, meV per atom: 133.6

Structure (extended XYZ):
```
16
Lattice="8.722 0.000 0.000 0.000 8.722 0.000 0.000 0.000 6.174" Properties=species:S:1:pos:R:3 pbc="T T T"
Cr 0.000 0.000 0.000
Cr 0.000 4.361 1.544
Cr 4.361 0.000 4.631
Cr 4.361 4.361 3.087
Hg 0.000 0.000 3.087
Hg 0.000 4.361 4.631
Hg 4.361 0.000 1.544
Hg 4.361 4.361 0.000
Br 1.123 6.541 0.772
Br 2.180 1.123 5.403
Br 2.180 3.238 2.315
Br 3.238 6.541 3.859
Br 5.484 2.180 3.859
Br 6.541 5.484 2.315
Br 6.541 7.599 5.403
Br 7.599 2.180 0.772
```

No. 2
VASP calculation (GGA-PBE) on a geometry-optimized CrHgBr2 structure.

Symmetry: P4/mmm (123)
Distance to the lowest polymorph of the same formula, meV per atom: 607.1

Structure (extended XYZ):
```
4
Lattice="5.162 0.000 0.000 0.000 5.162 0.000 0.000 0.000 3.758" Properties=species:S:1:pos:R:3 pbc="T T T"
Cr 0.000 0.000 0.000
Hg 2.581 2.581 0.000
Br 0.000 2.581 1.879
Br 2.581 0.000 1.879
```

No. 3
VASP calculation (GGA-PBE) on a geometry-optimized CrHgBr2 structure.

Symmetry: I-4m2 (119)
Distance to the lowest polymorph of the same formula, meV per atom: 514.3

Structure (extended XYZ):
```
8
Lattice="4.086 0.000 0.000 0.000 4.086 0.000 0.000 0.000 13.583" Properties=species:S:1:pos:R:3 pbc="T T T"
Cr 0.000 0.000 0.000
Cr 2.043 2.043 6.791
Hg 0.000 2.043 10.187
Hg 2.043 0.000 3.396
Br 0.000 0.000 6.791
Br 0.000 2.043 3.396
Br 2.043 0.000 10.187
Br 2.043 2.043 0.000
```

No. 4
VASP calculation (GGA-PBE) on a geometry-optimized CrHgBr2 structure.

Symmetry: Fm-3m (225)
Distance to the lowest polymorph of the same formula, meV per atom: 580.6

Structure (extended XYZ):
```
16
Lattice="7.359 0.000 0.000 0.000 7.359 0.000 0.000 0.000 7.359" Properties=species:S:1:pos:R:3 pbc="T T T"
Cr 0.000 0.000 0.000
Cr 0.000 3.679 3.679
Cr 3.679 0.000 3.679
Cr 3.679 3.679 0.000
Hg 0.000 0.000 3.679
Hg 0.000 3.679 0.000
Hg 3.679 0.000 0.000
Hg 3.679 3.679 3.679
Br 1.840 1.840 1.840
Br 1.840 1.840 5.519
Br 1.840 5.519 1.840
Br 1.840 5.519 5.519
Br 5.519 1.840 1.840
Br 5.519 1.840 5.519
Br 5.519 5.519 1.840
Br 5.519 5.519 5.519
```

No. 5
VASP calculation (GGA-PBE) on a geometry-optimized CrHgBr2 structure.

Symmetry: Imm2 (44)
Distance to the lowest polymorph of the same formula, meV per atom: 252.2

Structure (extended XYZ):
```
8
Lattice="3.613 0.000 0.000 0.000 7.491 0.000 0.000 0.000 9.356" Properties=species:S:1:pos:R:3 pbc="T T T"
Cr 0.000 0.000 0.000
Cr 1.806 3.745 4.678
Hg 0.000 3.745 6.782
Hg 1.806 0.000 2.103
Br 0.000 0.000 4.248
Br 0.000 3.745 2.986
Br 1.806 0.000 7.664
Br 1.806 3.745 8.926
```

No. 6
VASP calculation (GGA-PBE) on a geometry-optimized CrHgBr2 structure.

Symmetry: Cmm2 (35)
Distance to the lowest polymorph of the same formula, meV per atom: 275.2

Structure (extended XYZ):
```
8
Lattice="3.702 0.000 0.000 0.000 7.208 0.000 0.000 0.000 9.310" Properties=species:S:1:pos:R:3 pbc="T T T"
Cr 0.000 0.000 0.000
Cr 1.851 3.604 0.000
Hg 0.000 3.604 7.255
Hg 1.851 0.000 7.255
Br 0.000 0.000 5.254
Br 0.000 3.604 1.661
Br 1.851 0.000 1.661
Br 1.851 3.604 5.254
```

No. 7
VASP calculation (GGA-PBE) on a geometry-optimized CrHgBr2 structure.

Symmetry: F-43m (216)
Distance to the lowest polymorph of the same formula, meV per atom: 739.0

Structure (extended XYZ):
```
16
Lattice="7.352 0.000 0.000 0.000 7.352 0.000 0.000 0.000 7.352" Properties=species:S:1:pos:R:3 pbc="T T T"
Cr 0.000 0.000 0.000
Cr 0.000 3.676 3.676
Cr 3.676 0.000 3.676
Cr 3.676 3.676 0.000
Hg 1.838 1.838 1.838
Hg 1.838 5.514 5.514
Hg 5.514 1.838 5.514
Hg 5.514 5.514 1.838
Br 0.000 0.000 3.676
Br 0.000 3.676 0.000
Br 1.838 1.838 5.514
Br 1.838 5.514 1.838
Br 3.676 0.000 0.000
Br 3.676 3.676 3.676
Br 5.514 1.838 1.838
Br 5.514 5.514 5.514
```

No. 8
VASP calculation (GGA-PBE) on a geometry-optimized CrHgBr4 structure.

Symmetry: C2/m (12)
Distance to the lowest polymorph of the same formula, meV per atom: 0.0

Structure (extended XYZ):
```
12
Lattice="14.670 0.000 0.000 0.000 4.023 0.000 -2.995 0.000 6.376" Properties=species:S:1:pos:R:3 pbc="T T T"
Cr 0.000 0.000 0.000
Cr 7.335 2.011 0.000
Hg -1.498 2.011 3.188
Hg 5.838 0.000 3.188
Br 0.877 2.011 1.581
Br -0.772 0.000 5.207
Br 5.112 2.011 1.169
Br 3.463 0.000 4.796
Br 8.212 0.000 1.581
Br 6.563 2.011 5.207
Br 12.447 0.000 1.169
Br 10.798 2.011 4.796
```

No. 9
VASP calculation (GGA-PBE) on a geometry-optimized CrHgBr3 structure.

Symmetry: Pm-3m (221)
Distance to the lowest polymorph of the same formula, meV per atom: 257.1

Structure (extended XYZ):
```
5
Lattice="5.163 0.000 0.000 0.000 5.163 0.000 0.000 0.000 5.163" Properties=species:S:1:pos:R:3 pbc="T T T"
Cr 0.000 0.000 0.000
Hg 2.581 2.581 2.581
Br 0.000 0.000 2.581
Br 0.000 2.581 0.000
Br 2.581 0.000 0.000
```

No. 10
VASP calculation (GGA-PBE) on a geometry-optimized CrHgBr4 structure.

Symmetry: F-43m (216)
Distance to the lowest polymorph of the same formula, meV per atom: 1119.5

Structure (extended XYZ):
```
6
Lattice="0.000 4.473 4.473 4.473 0.000 4.473 4.473 4.473 0.000" Properties=species:S:1:pos:R:3 pbc="T T T"
Cr 0.000 0.000 0.000
Hg 6.710 6.710 6.710
Br 3.354 3.354 3.354
Br 5.593 5.593 3.354
Br 5.593 3.354 5.593
Br 3.354 5.593 5.593
```

No. 11
VASP calculation (GGA-PBE) on a geometry-optimized CrHgBr3 structure.

Symmetry: R-3 (148)
Distance to the lowest polymorph of the same formula, meV per atom: 0.0

Structure (extended XYZ):
```
10
Lattice="3.213 1.855 9.850 -3.213 1.855 9.850 0.000 -3.710 9.850" Properties=species:S:1:pos:R:3 pbc="T T T"
Cr 0.000 0.000 4.927
Cr 0.000 0.000 24.623
Hg 0.000 0.000 9.948
Hg 0.000 0.000 19.603
Br -1.149 -1.992 13.335
Br -2.299 -0.001 16.215
Br -1.151 1.990 13.335
Br 1.151 -1.990 16.215
Br 2.299 0.001 13.335
Br 1.149 1.992 16.215
```

No. 12
VASP calculation (GGA-PBE) on a geometry-optimized CrHgBr2 structure.

Symmetry: Pm (6)
Distance to the lowest polymorph of the same formula, meV per atom: 155.5

Structure (extended XYZ):
```
4
Lattice="5.481 0.000 0.000 0.000 3.689 0.000 -1.951 0.000 6.130" Properties=species:S:1:pos:R:3 pbc="T T T"
Cr 0.000 0.000 0.000
Hg -0.117 1.845 5.041
Br 2.005 0.000 4.056
Br 4.604 1.845 1.464
```

No. 13
VASP calculation (GGA-PBE) on a geometry-optimized Cr3HgBr structure.

Symmetry: Pm-3m (221)
Distance to the lowest polymorph of the same formula, meV per atom: 128.9

Structure (extended XYZ):
```
5
Lattice="4.388 0.000 0.000 0.000 4.388 0.000 0.000 0.000 4.388" Properties=species:S:1:pos:R:3 pbc="T T T"
Cr 0.000 0.000 2.194
Cr 0.000 2.194 0.000
Cr 2.194 0.000 0.000
Hg 2.194 2.194 2.194
Br 0.000 0.000 0.000
```

No. 14
VASP calculation (GGA-PBE) on a geometry-optimized CrHgBr2 structure.

Symmetry: C2/m (12)
Distance to the lowest polymorph of the same formula, meV per atom: 21.8

Structure (extended XYZ):
```
8
Lattice="13.100 0.000 0.000 0.000 3.582 0.000 -3.832 0.000 5.983" Properties=species:S:1:pos:R:3 pbc="T T T"
Cr 0.000 0.000 0.000
Cr 6.550 1.791 0.000
Hg -1.916 1.791 2.991
Hg 4.634 0.000 2.991
Br 1.476 1.791 0.939
Br 1.242 0.000 5.043
Br 8.026 0.000 0.939
Br 7.792 1.791 5.043
```

No. 15
VASP calculation (GGA-PBE) on a geometry-optimized CrHgBr2 structure.

Symmetry: P2/m (10)
Distance to the lowest polymorph of the same formula, meV per atom: 29.4

Structure (extended XYZ):
```
4
Lattice="4.301 0.000 0.000 0.000 3.587 0.000 -1.348 0.000 9.406" Properties=species:S:1:pos:R:3 pbc="T T T"
Cr 0.000 0.000 0.000
Hg 1.477 0.000 4.703
Br -0.567 1.793 7.841
Br 3.520 1.793 1.565
```

No. 16
VASP calculation (GGA-PBE) on a geometry-optimized CrHgBr2 structure.

Symmetry: R-3m (166)
Distance to the lowest polymorph of the same formula, meV per atom: 25.5

Structure (extended XYZ):
```
12
Lattice="3.798 0.000 0.000 -1.899 3.289 0.000 0.000 0.000 32.962" Properties=species:S:1:pos:R:3 pbc="T T T"
Cr 0.000 0.000 0.000
Cr 0.000 2.193 21.975
Cr 1.899 1.096 10.987
Hg 0.000 0.000 16.481
Hg 0.000 2.193 5.494
Hg 1.899 1.096 27.469
Br 0.000 0.000 12.489
Br 0.000 0.000 20.474
Br 0.000 2.193 1.501
Br 0.000 2.193 9.486
Br 1.899 1.096 23.476
Br 1.899 1.096 31.461
```

No. 17
VASP calculation (GGA-PBE) on a geometry-optimized Cr5Hg3Br12 structure.

Symmetry: Ia-3d (230)

Structure (extended XYZ):
```
80
Lattice="-8.505 8.505 8.505 8.505 -8.505 8.505 8.505 8.505 -8.505" Properties=species:S:1:pos:R:3 pbc="T T T"
Cr 0.000 0.000 0.000
Cr 4.253 4.253 -4.253
Cr 4.253 -4.253 4.253
Cr 8.505 0.000 0.000
Cr 12.758 2.126 0.000
Cr 8.505 -4.253 6.379
Cr 6.379 8.505 -4.253
Cr 6.379 0.000 4.253
Cr 4.253 6.379 0.000
Cr 8.505 4.253 2.126
Cr -4.253 4.253 4.253
Cr 0.000 8.505 0.000
Cr 0.000 0.000 8.505
Cr 4.253 4.253 4.253
Cr 0.000 4.253 6.379
Cr 4.253 2.126 8.505
Cr 2.126 8.505 4.253
Cr 2.126 0.000 12.758
Cr 0.000 12.758 2.126
Cr -4.253 6.379 8.505
Hg 4.253 2.126 0.000
Hg 8.505 4.253 -2.126
Hg 2.126 0.000 4.253
Hg 10.632 0.000 4.253
Hg 0.000 4.253 2.126
Hg 4.253 -2.126 8.505
Hg 4.253 10.632 0.000
Hg 8.505 4.253 6.379
Hg -2.126 8.505 4.253
Hg 6.379 8.505 4.253
Hg 0.000 4.253 10.632
Hg 4.253 6.379 8.505
Br 2.465 -0.565 0.734
Br 10.293 4.987 -4.818
Br 10.970 0.565 0.734
Br 10.293 -3.518 4.818
Br 7.940 -0.734 2.465
Br 13.323 -1.788 3.518
Br 0.734 2.465 -0.565
Br 12.024 3.688 -1.788
Br 4.987 4.818 -1.788
Br 7.771 2.465 0.565
Br -0.565 0.734 2.465
Br 4.818 -1.788 4.987
Br 7.940 7.771 -2.465
Br 4.818 1.788 3.518
Br 4.987 -4.818 10.293
Br 7.771 -2.465 7.940
Br 3.518 4.818 1.788
Br 9.240 6.040 0.565
Br 4.818 10.293 -3.518
Br 7.940 0.734 6.040
Br 2.465 7.940 -0.734
Br 10.293 3.518 3.688
Br 1.788 3.518 4.818
Br 2.465 0.565 7.771
Br 6.040 7.940 0.734
Br 6.718 4.987 3.688
Br -1.788 4.987 4.818
Br 6.040 0.565 9.240
Br 0.565 7.771 2.465
Br 3.688 -1.788 12.024
Br -0.734 2.465 7.940
Br 4.987 3.688 6.718
Br 0.734 10.970 0.565
Br 3.518 13.323 -1.788
Br 3.688 6.718 4.987
Br 0.565 0.734 10.970
Br 3.688 10.293 3.518
Br 9.070 7.771 6.040
Br 0.734 6.040 7.940
Br 3.518 3.688 10.293
Br -3.518 4.818 10.293
Br 7.771 6.040 9.070
Br -4.818 10.293 4.987
Br 0.565 9.240 6.040
Br -1.788 12.024 3.688
Br -2.465 7.940 7.771
Br -1.788 3.518 13.323
Br 6.040 9.070 7.771
```

No. 18
VASP calculation (GGA-PBE) on a geometry-optimized CrHgBr2 structure.

Symmetry: P4/mmm (123)
Distance to the lowest polymorph of the same formula, meV per atom: 307.0

Structure (extended XYZ):
```
4
Lattice="3.377 0.000 0.000 0.000 3.377 0.000 0.000 0.000 9.997" Properties=species:S:1:pos:R:3 pbc="T T T"
Cr 0.000 0.000 0.000
Hg 0.000 0.000 4.999
Br 1.689 1.689 1.623
Br 1.689 1.689 8.374
```

No. 19
VASP calculation (GGA-PBE) on a geometry-optimized CrHgBr2 structure.

Symmetry: C2/m (12)
Distance to the lowest polymorph of the same formula, meV per atom: 510.9

Structure (extended XYZ):
```
8
Lattice="7.894 0.000 0.000 0.000 8.051 0.000 -2.003 0.000 3.655" Properties=species:S:1:pos:R:3 pbc="T T T"
Cr 0.000 0.000 0.000
Cr 3.947 4.025 0.000
Hg 0.000 4.025 0.000
Hg 3.947 0.000 0.000
Br 0.972 2.013 1.828
Br 0.972 6.038 1.828
Br 4.919 2.013 1.828
Br 4.919 6.038 1.828
```

No. 20
VASP calculation (GGA-PBE) on a geometry-optimized CrHgBr2 structure.

Symmetry: Cm (8)
Distance to the lowest polymorph of the same formula, meV per atom: 0.0

Structure (extended XYZ):
```
8
Lattice="13.153 0.000 0.000 0.000 3.601 0.000 -3.395 0.000 5.834" Properties=species:S:1:pos:R:3 pbc="T T T"
Cr 0.000 0.000 0.000
Cr 6.576 1.801 0.000
Hg 1.415 0.000 2.672
Hg 7.992 1.801 2.672
Br -1.914 1.801 4.904
Br 4.985 0.000 0.724
Br 4.663 0.000 4.904
Br 11.562 1.801 0.724
```

No. 21
VASP calculation (GGA-PBE) on a geometry-optimized CrHgBr2 structure.

Symmetry: P4mm (99)
Distance to the lowest polymorph of the same formula, meV per atom: 440.4

Structure (extended XYZ):
```
4
Lattice="3.507 0.000 0.000 0.000 3.507 0.000 0.000 0.000 8.447" Properties=species:S:1:pos:R:3 pbc="T T T"
Cr 0.000 0.000 0.000
Hg 1.754 1.754 1.832
Br 0.000 0.000 3.542
Br 1.754 1.754 6.974
```

No. 22
VASP calculation (GGA-PBE) on a geometry-optimized CrHgBr2 structure.

Symmetry: R3m (160)
Distance to the lowest polymorph of the same formula, meV per atom: 212.7

Structure (extended XYZ):
```
12
Lattice="3.881 0.000 0.000 -1.941 3.361 0.000 0.000 0.000 25.559" Properties=species:S:1:pos:R:3 pbc="T T T"
Cr 0.000 0.000 0.000
Cr 0.000 2.241 17.039
Cr 1.941 1.120 8.520
Hg 0.000 0.000 6.697
Hg 0.000 2.241 23.737
Hg 1.941 1.120 15.217
Br 0.000 0.000 13.408
Br 0.000 0.000 18.421
Br 0.000 2.241 4.888
Br 0.000 2.241 9.901
Br 1.941 1.120 1.382
Br 1.941 1.120 21.927
```

No. 23
VASP calculation (GGA-PBE) on a geometry-optimized CrHgBr2 structure.

Symmetry: R-3m (166)
Distance to the lowest polymorph of the same formula, meV per atom: 25.6

Structure (extended XYZ):
```
12
Lattice="3.805 0.000 0.000 -1.902 3.295 0.000 0.000 0.000 30.692" Properties=species:S:1:pos:R:3 pbc="T T T"
Cr 0.000 0.000 0.000
Cr 0.000 2.197 20.462
Cr 1.902 1.098 10.231
Hg 0.000 0.000 15.346
Hg 0.000 2.197 5.115
Hg 1.902 1.098 25.577
Br 0.000 0.000 8.735
Br 0.000 0.000 21.957
Br 0.000 2.197 11.726
Br 0.000 2.197 29.197
Br 1.902 1.098 1.496
Br 1.902 1.098 18.966
```

No. 24
VASP calculation (GGA-PBE) on a geometry-optimized CrHgBr2 structure.

Symmetry: Pmmm (47)
Distance to the lowest polymorph of the same formula, meV per atom: 514.0

Structure (extended XYZ):
```
4
Lattice="4.063 0.000 0.000 0.000 4.100 0.000 0.000 0.000 6.834" Properties=species:S:1:pos:R:3 pbc="T T T"
Cr 0.000 0.000 0.000
Hg 0.000 2.050 3.417
Br 2.031 0.000 3.417
Br 2.031 2.050 0.000
```

Results for DFT total energy: -3.631; -3.157; -3.250; -3.184; -3.512; -3.489; -3.025; -3.272; -3.333; -2.152; -3.590; -3.609; -4.801; -3.743; -3.735; -3.739; -3.864; -3.457; -3.253; -3.764; -3.324; -3.552; -3.739; -3.250 (in eV per atom, following the order of the records).
Results for uncorrected formation energy: -1.25; 0.64; 0.27; 0.54; -0.78; -0.69; 1.17; -3.01; -1.72; 3.70; -3.01; -1.16; 6.84; -1.70; -1.67; -1.68; -8.19; -0.56; 0.26; -1.79; -0.03; -0.94; -1.68; 0.27 (in eV/f.u., following the order of the records).